1.
# Ca4YOs

Crystalline Ca4YOs at its relaxed geometry (PBE, Alexandria).

Values from the calculation:
M_tot	0.00	μB per formula unit
V	29.504	Å³ per atom
formation energy from the elements	5.797	eV/f.u.
E_tot	-3.317	eV/atom

a = 6.3026 Å, b = 6.3026 Å, c = 6.3026 Å
α = 60.00°, β = 60.00°, γ = 60.00°
With the nearest neighbours (Å) after each atom.
Fractional coordinates of all 6 atoms:
Ca (0.8694, 0.3769, 0.3769)  6 Ca 3.10-3.20
Ca (0.3769, 0.3769, 0.8694)  6 Ca 3.10-3.20
Ca (0.3769, 0.8694, 0.3769)  6 Ca 3.10-3.20
Ca (0.3769, 0.3769, 0.3769)  6 Ca 3.10-3.20
Y (0.0000, 0.0000, 0.0000)  12 Ca 3.70, 4 Os 3.86
Os (0.7500, 0.7500, 0.7500)  12 Ca 3.69, 4 Y 3.86

2.
# RbCrCl3

Crystalline RbCrCl3 at its relaxed geometry (PBE, Alexandria).

Values from the calculation:
M_tot	4.00	μB per formula unit
V	33.748	Å³ per atom
E_tot	-4.555	eV/atom
raw formation energy	-1.329	eV/atom

a = 8.0801 Å, b = 15.2892 Å, c = 5.4637 Å
α = 90.00°, β = 90.00°, γ = 90.00°
With the nearest neighbours (Å) after each atom.
Fractional coordinates of all 20 atoms:
Cr (0.6752, 0.2500, 0.6247)  4 Cl 2.33-2.40
Cr (0.8248, 0.7500, 0.1247)  4 Cl 2.33-2.40
Cr (0.3248, 0.7500, 0.3753)  4 Cl 2.33-2.40
Cr (0.1752, 0.2500, 0.8753)  4 Cl 2.33-2.40
Rb (0.0000, 0.0000, 0.5000)  6 Cl 3.26-3.46
Rb (0.5000, 0.5000, 0.0000)  6 Cl 3.26-3.46
Rb (0.5000, 0.0000, 0.0000)  6 Cl 3.26-3.46
Rb (0.0000, 0.5000, 0.5000)  6 Cl 3.26-3.46
Cl (0.8566, 0.8968, 0.0225)  1 Cr 2.33
Cl (0.6434, 0.3968, 0.5225)  1 Cr 2.33
Cl (0.6434, 0.1032, 0.5225)  1 Cr 2.33
Cl (0.1434, 0.3968, 0.9775)  1 Cr 2.33
Cl (0.1434, 0.1032, 0.9775)  1 Cr 2.33
Cl (0.3566, 0.6032, 0.4775)  1 Cr 2.33
Cl (0.3566, 0.8968, 0.4775)  1 Cr 2.33
Cl (0.8566, 0.6032, 0.0225)  1 Cr 2.33
Cl (0.4673, 0.2500, 0.9394)  2 Cr 2.39-2.40
Cl (0.0327, 0.7500, 0.4394)  2 Cr 2.39-2.40
Cl (0.5327, 0.7500, 0.0606)  2 Cr 2.39-2.40
Cl (0.9673, 0.2500, 0.5606)  2 Cr 2.39-2.40

3.
# SmGd2Cd

Crystalline SmGd2Cd at its relaxed geometry (PBE, Alexandria).

Values from the calculation:
M_tot	15.38	μB per formula unit
V	29.489	Å³ per atom
formation energy from the elements	-0.110	eV/f.u.
E_tot	-8.476	eV/atom

a = 5.5049 Å, b = 5.5049 Å, c = 5.5049 Å
α = 60.00°, β = 60.00°, γ = 60.00°
With the nearest neighbours (Å) after each atom.
Fractional coordinates of all 4 atoms:
Gd (0.2500, 0.2500, 0.2500)  4 Cd 3.37, 4 Sm 3.37
Gd (0.7500, 0.7500, 0.7500)  4 Cd 3.37, 4 Sm 3.37
Sm (0.0000, 0.0000, 0.0000)  8 Gd 3.37
Cd (0.5000, 0.5000, 0.5000)  8 Gd 3.37